# 1
A plane-wave DFT calculation with PBE-GGA was carried out for crystalline La5Pm4Nd2 at its relaxed geometry.

Results
formation energy from the elements: 90 meV/atom

```
11
Lattice="3.6174 0.0000 0.0000 0.0000 8.7364 -1.8363 -1.8087 -5.1791 13.7169" Properties=species:S:1:pos:R:3 pbc="T T T"
Pm 0.0000 5.9952 -0.2392
Pm 0.0000 0.2865 10.3833
Pm 1.8087 -2.4379 12.1198
Pm 1.8087 3.2708 1.4972
Nd 1.8087 3.1488 5.0756
Nd 0.0000 0.4085 6.8049
La 0.0000 5.9167 3.3825
La 0.0000 0.4957 3.2327
La 1.8087 -2.3594 8.4980
La 1.8087 0.0000 0.0000
La 1.8087 3.0616 8.6478
```

# 2
A plane-wave DFT calculation with PBE-GGA was carried out for crystalline Hg4SbI2 at its relaxed geometry.

Results
formation energy (no corrections): -0.027 eV per atom

```
7
Lattice="-5.1121 -3.8873 -0.7587 3.9151 -5.1465 0.0808 0.0112 4.1608 6.1207" Properties=species:S:1:pos:R:3 pbc="T T T"
Hg 1.4451 -4.8273 0.1898
Hg -2.7102 -4.2477 -0.1973
Hg -0.3575 -2.4702 0.1405
Hg -0.9052 -6.6035 -0.1697
I 1.6703 -2.7474 2.8691
I -2.8433 -2.1178 2.4493
Sb -1.0649 -4.7992 4.2478
```

# 3
A plane-wave DFT calculation with PBE-GGA was carried out for crystalline NaTiIn at its relaxed geometry.

Results
formation energy from the elements: 89 meV/atom

```
6
Lattice="-1.5520 -7.8730 -2.4268 3.0718 -0.6404 0.1132 -0.6430 -2.2791 4.5527" Properties=species:S:1:pos:R:3 pbc="T T T"
Ti -0.1424 -4.2594 1.5393
Ti 1.0192 -6.5331 0.6998
Na -0.9416 -8.5815 -1.2250
Na 1.8184 -2.2111 3.4642
In -0.8829 -7.5879 2.8008
In 1.7597 -3.2046 -0.5617
```

# 4
A plane-wave DFT calculation with PBE-GGA was carried out for crystalline NaTmCuO2 at its relaxed geometry.

Results
formation energy (no corrections): -1.730 eV per atom

```
10
Lattice="5.6254 0.0000 0.0000 0.0000 6.5191 -0.3828 0.0000 -2.4009 6.1003" Properties=species:S:1:pos:R:3 pbc="T T T"
O 3.9585 3.3638 5.3757
O 1.6669 0.7544 0.3418
O 1.6669 4.5643 2.3256
O 3.9585 -0.4461 3.3919
Na 4.6506 1.4589 4.3838
Na 0.9748 2.6593 1.3337
Cu 0.0000 -1.2005 3.0502
Cu 0.0000 0.0000 0.0000
Tm 2.8650 -0.6002 1.5251
Tm 2.7604 -1.8007 4.5752
```

# 5
A plane-wave DFT calculation with PBE-GGA was carried out for crystalline Y2OsW at its relaxed geometry.

Results
formation energy from the elements: 506 meV/atom

```
4
Lattice="3.0351 -0.0093 0.0000 -0.9912 2.8687 0.0000 0.0000 0.0000 9.3416" Properties=species:S:1:pos:R:3 pbc="T T T"
Os 1.0219 1.4297 2.3354
Y 0.0000 0.0000 4.5201
Y 0.0000 0.0000 0.1507
W 1.0219 1.4297 7.0062
```

# 6
A plane-wave DFT calculation with PBE-GGA was carried out for crystalline Rb2HfPdF6 at its relaxed geometry.

Results
formation energy (no corrections): -2.742 eV per atom

```
10
Lattice="6.4621 0.0000 0.0000 0.0000 6.4621 0.0000 3.2311 3.2311 5.0342" Properties=species:S:1:pos:R:3 pbc="T T T"
F 5.0446 5.0446 0.0000
F 3.2311 3.2311 3.0268
F 6.4621 6.4621 2.0075
F 5.0446 1.4176 0.0000
F 1.4176 5.0446 0.0000
F 1.4176 1.4176 0.0000
Rb 6.4621 3.2311 2.5171
Rb 3.2311 6.4621 2.5171
Pd 3.2311 3.2311 0.0000
Hf 0.0000 0.0000 0.0000
```

# 7
A plane-wave DFT calculation with PBE-GGA was carried out for crystalline Y2InCu at its relaxed geometry.

Results
formation energy from the elements: -153 meV/atom

```
4
Lattice="-1.8721 2.7961 -0.4556 -1.8488 -0.7920 2.7360 5.3785 4.4008 4.9083" Properties=species:S:1:pos:R:3 pbc="T T T"
Cu 2.7885 2.2816 2.5447
In 1.9130 4.0895 4.5837
Y 5.2479 4.2940 4.7892
Y -0.2240 2.3410 2.6336
```

# 8
A plane-wave DFT calculation with PBE-GGA was carried out for crystalline ScNiSe2Br at its relaxed geometry.

Results
formation energy (no corrections): -0.318 eV per atom

```
5
Lattice="4.7926 0.0000 0.0000 0.0000 4.7926 0.0000 0.0000 0.0000 4.6887" Properties=species:S:1:pos:R:3 pbc="T T T"
Ni 0.0000 0.0000 0.0000
Se 0.0000 2.3963 0.0000
Se 2.3963 0.0000 0.0000
Sc 2.3963 2.3963 2.3443
Br 0.0000 0.0000 2.3443
```

# 9
A plane-wave DFT calculation with PBE-GGA was carried out for crystalline Ba3B3Pb2BrO9 at its relaxed geometry.

Results
formation energy (no corrections): -2.356 eV per atom

```
36
Lattice="9.0078 0.0099 0.0000 -2.6441 8.6110 0.0000 0.0000 0.0000 8.1568" Properties=species:S:1:pos:R:3 pbc="T T T"
O 6.2575 0.2108 6.9960
O 2.0618 7.4003 0.0401
O 2.1082 2.6625 1.2245
O 4.4675 1.1946 0.0864
O 3.1218 4.2290 4.0784
O -0.1009 4.4706 4.0383
O 1.9234 2.7990 6.9323
O 0.1062 8.4101 2.9176
O 8.0057 2.5790 5.2391
O 4.3019 1.2206 4.1185
O 1.8962 7.4263 4.1648
O 3.2420 4.3919 0.0000
O 6.5382 3.9998 3.9920
O 6.4646 4.1503 8.1167
O 4.2556 5.9584 5.3029
O -0.1744 4.6212 8.0704
O -1.6419 6.0419 1.1607
O 4.4404 5.8219 2.8539
Ba 1.4743 5.5709 6.1176
Ba 1.4052 5.6220 2.0392
Ba 1.5260 2.0673 4.0784
Ba 4.9586 2.9989 6.1176
Ba 4.8894 3.0500 2.0392
Ba 4.8377 6.5537 0.0000
Pb 2.3704 0.2808 0.6715
Pb 3.9934 8.3401 4.7499
Pb 6.7937 6.2730 3.4068
Pb -0.4299 2.3479 7.4852
B 2.4174 3.2748 0.0000
B -1.4654 4.9284 0.3434
B 7.8292 3.6925 4.4218
B 3.9463 5.3461 4.0784
B 1.2224 8.5695 3.7350
B 5.1414 0.0514 7.8133
Br 8.1381 0.6519 2.0392
Br -1.7743 7.9690 6.1176
```

# 10
A plane-wave DFT calculation with PBE-GGA was carried out for crystalline Ca2ZnAg at its relaxed geometry.

Results
formation energy from the elements: -104 meV/atom

```
4
Lattice="7.6298 -0.2677 -0.1615 6.5438 3.9324 -0.1615 6.5438 1.6920 3.5535" Properties=species:S:1:pos:R:3 pbc="T T T"
Ca 10.4000 2.6890 1.6217
Ca 20.6760 5.3460 3.2241
Ag 5.1793 1.3392 0.8076
Zn 15.5380 4.0175 2.4229
```

# 11
A plane-wave DFT calculation with PBE-GGA was carried out for crystalline NaPtOF2 at its relaxed geometry.

Results
formation energy (no corrections): -1.215 eV per atom

```
5
Lattice="-3.5066 -2.7249 0.3128 0.3434 0.0675 4.4381 -2.3365 3.0223 0.1348" Properties=species:S:1:pos:R:3 pbc="T T T"
Na -2.7499 0.1825 2.4429
O -1.1683 1.5112 0.0674
F -1.7533 -1.3624 0.1564
F 0.1717 0.0337 2.2191
Pt 0.0000 0.0000 0.0000
```

# 12
A plane-wave DFT calculation with PBE-GGA was carried out for crystalline LiGdSbIr at its relaxed geometry.

Results
formation energy (no corrections): -0.722 eV per atom

```
4
Lattice="-0.0533 -4.0892 2.3897 -1.4657 -3.9687 -2.1298 3.1150 -3.4057 -1.0643" Properties=species:S:1:pos:R:3 pbc="T T T"
Gd 0.3990 -2.8659 -0.2011
Sb 1.1970 -8.5977 -0.6033
Ir 0.0000 0.0000 0.0000
Li 0.7980 -5.7318 -0.4022
```